Below is an optimized crystal structure of Ba5Cd2In, with properties calculated at the PBE-GGA level.

Output
- volume (Å³/cell) = 715.1
- ΔH_f (0 K) (eV per formula unit) = -1.97
- space group = I4/mcm (140)

a b c (Å): 9.4609 9.4609 10.4198
angles (deg): 117.00 117.00 90.00
Last column: nearest neighbours and their distance in Å.
Atoms (fractional coordinates):
Ba 0.5209 0.6848 0.7057  3 Cd 3.63-3.69, 2 In 3.88, 1 Ba 3.95
Ba 0.8152 0.9791 0.2943  3 Cd 3.63-3.69, 2 In 3.88, 1 Ba 3.95
Ba 0.0000 0.0000 0.0000  4 Cd 3.77, 2 In 3.99
Ba 0.5000 0.5000 0.0000  4 Cd 3.77, 2 In 3.99
Ba 0.1848 0.0209 0.7057  3 Cd 3.63-3.69, 2 In 3.88, 1 Ba 3.95
Ba 0.6848 0.1848 0.7057  3 Cd 3.63-3.69, 2 In 3.88, 1 Ba 3.95
Ba 0.0209 0.5209 0.7057  3 Cd 3.63-3.69, 2 In 3.88, 1 Ba 3.95
Ba 0.3152 0.8152 0.2943  3 Cd 3.63-3.69, 2 In 3.88, 1 Ba 3.95
Ba 0.9791 0.4791 0.2943  3 Cd 3.63-3.69, 2 In 3.88, 1 Ba 3.95
Ba 0.4791 0.3152 0.2943  3 Cd 3.63-3.69, 2 In 3.88, 1 Ba 3.95
Cd 0.1196 0.3804 0.0000  1 Cd 3.20
Cd 0.6196 0.1196 0.0000  1 Cd 3.20
Cd 0.3804 0.8804 0.0000  1 Cd 3.20
Cd 0.8804 0.6196 0.0000  1 Cd 3.20
In 0.7500 0.7500 0.5000  10 Ba 3.88-3.99
In 0.2500 0.2500 0.5000  10 Ba 3.88-3.99

Below is an optimized crystal structure of Be2GaOsRu, with properties calculated at the PBE-GGA level.

Output
- volume (Å³/cell) = 74.6
- ΔH_f (0 K) (eV per formula unit) = 6.75
- space group = P4/mmm (123)

a b c (Å): 4.0332 4.5850 4.0332
angles (deg): 90.00 90.00 90.00
Last column: nearest neighbours and their distance in Å.
Atoms (fractional coordinates):
Ru 0.5000 0.5000 0.5000  4 Os 2.85, 8 Be 3.05
Os 0.0000 0.5000 0.0000  2 Ga 2.29
Ga 0.0000 0.0000 0.0000  4 Be 2.02
Be 0.0000 0.0000 0.5000  2 Ga 2.02
Be 0.5000 0.0000 0.0000  2 Ga 2.02

Below is an optimized crystal structure of Rb3Er2MnSe6, with properties calculated at the PBE-GGA level.

Output
- E_form (uncorrected) (eV/atom) = -1.349
- volume (Å³/cell) = 352.9
- space group = C2/m (12)

a b c (Å): 7.0899 7.0899 8.3548
angles (deg): 99.02 99.02 118.09
Last column: nearest neighbours and their distance in Å.
Atoms (fractional coordinates):
Rb 0.1726 0.8274 0.5000  6 Se 3.37-3.55
Rb 0.8274 0.1726 0.5000  6 Se 3.37-3.55
Rb 0.5000 0.5000 0.5000  6 Se 3.39-3.41
Er 0.3375 0.6625 0.0000  6 Se 2.82-2.93
Er 0.6625 0.3375 0.0000  6 Se 2.82-2.93
Mn 0.0000 0.0000 0.0000  4 Se 2.59
Se 0.9414 0.6344 0.8201  1 Mn 2.59, 1 Er 2.87
Se 0.7321 0.7321 0.2048  2 Er 2.82, 1 Mn 2.96
Se 0.0586 0.3656 0.1799  1 Mn 2.59, 1 Er 2.87
Se 0.6344 0.9414 0.8201  1 Mn 2.59, 1 Er 2.87
Se 0.2679 0.2679 0.7952  2 Er 2.82, 1 Mn 2.96
Se 0.3656 0.0586 0.1799  1 Mn 2.59, 1 Er 2.87

Below is an optimized crystal structure of Pm2Zn4CdPt3, with properties calculated at the PBE-GGA level.

Output
- volume (Å³/cell) = 196.6
- ΔH_f (0 K) (eV per formula unit) = -6.62
- space group = P-4m2 (115)

a b c (Å): 4.0749 4.0749 11.8397
angles (deg): 90.00 90.00 90.00
Last column: nearest neighbours and their distance in Å.
Atoms (fractional coordinates):
Pm 0.5000 0.0000 0.2337  4 Pt 3.08, 8 Zn 3.23-3.44
Pm 0.0000 0.5000 0.7663  4 Pt 3.08, 8 Zn 3.23-3.44
Zn 0.5000 0.5000 0.0000  4 Pt 2.63, 4 Zn 2.88
Zn 0.0000 0.0000 0.0000  4 Pt 2.63, 4 Zn 2.88
Zn 0.5000 0.0000 0.6439  3 Pt 2.55-2.66, 2 Cd 2.66
Zn 0.0000 0.5000 0.3561  3 Pt 2.55-2.66, 2 Cd 2.66
Cd 0.5000 0.5000 0.5000  4 Zn 2.66, 4 Pt 2.88
Pt 0.0000 0.0000 0.5000  4 Zn 2.66, 4 Cd 2.88
Pt 0.5000 0.0000 0.8589  5 Zn 2.55-2.63
Pt 0.0000 0.5000 0.1411  5 Zn 2.55-2.63

Mass density per entry: 4.767, 8.439, 5.268, 10.552 g cm⁻³